# SrPr2Si

A relaxed SrPr2Si crystal (PBE, Alexandria).

```
SrPr2Si
1.0
4.161 0.000 0.000
-2.081 3.604 0.000
0.000 0.000 33.597
Sr Pr Si
3 6 3
Direct
0.000 0.000 0.000
0.333 0.667 0.667
0.667 0.333 0.333
0.000 0.000 0.117
0.000 0.000 0.883
0.333 0.667 0.549
0.333 0.667 0.784
0.667 0.333 0.216
0.667 0.333 0.451
0.000 0.000 0.500
0.333 0.667 0.167
0.667 0.333 0.833
```

## Properties
The total energy comes out at -17.11 eV/f.u. Its raw formation energy is -0.110 eV per atom. Its space-group type is R-3m, No. 166.